(1)
A relaxed structure of NdBiAs. Source: OQMD via LeMat-Bulk, functional PBE.

Properties
total moment = 0.0 μB/f.u.
VASP energy = -4.755 eV per atom
space-group type = No. 216

abc: 5.1672 5.1672 5.1672
angles: 60.00 60.00 60.00
Closest atoms and distances in Å follow each position.
Positions (direct):
Nd  0.0000  0.0000  0.0000  4 As 3.16, 4 Bi 3.16
Bi  0.2500  0.2500  0.2500  4 Nd 3.16
As  0.7500  0.7500  0.7500  4 Nd 3.16

(2)
A relaxed structure of NdBiAs. Source: OQMD via LeMat-Bulk, functional PBE.

Properties
total moment = 0.0 μB/f.u.
VASP energy = -4.624 eV per atom
space-group type = No. 216

abc: 5.1675 5.1675 5.1675
angles: 60.00 60.00 60.00
Closest atoms and distances in Å follow each position.
Positions (direct):
Nd  0.0000  0.0000  0.0000  4 Bi 3.16
Bi  0.7500  0.7500  0.7500  4 As 3.16, 4 Nd 3.16
As  0.5000  0.5000  0.5000  4 Bi 3.16

(3)
A relaxed structure of Nd2BiAsO6. Source: OQMD via LeMat-Bulk, functional PBE.

Properties
total moment = 0.0 μB/f.u.
VASP energy = -7.070 eV per atom
space-group type = No. 36

abc: 7.3386 7.3386 5.9658
angles: 90.00 90.00 102.84
Closest atoms and distances in Å follow each position.
Positions (direct):
Nd  0.0852  0.3085  0.0000  6 O 2.34-2.55
Nd  0.3085  0.0852  0.5000  6 O 2.34-2.55
Nd  0.6915  0.9148  0.0000  6 O 2.34-2.55
Nd  0.9148  0.6915  0.5000  6 O 2.34-2.55
Bi  0.4027  0.5973  0.5220  3 O 2.16-2.25
Bi  0.5973  0.4027  0.0220  3 O 2.16-2.25
As  0.1671  0.8329  0.9558  3 O 1.82-1.88
As  0.8329  0.1671  0.4558  3 O 1.82-1.88
O  0.0384  0.9616  0.7597  1 As 1.88
O  0.0972  0.6017  0.8313  1 As 1.82
O  0.2278  0.7722  0.3888  1 Bi 2.16, 2 Nd 2.34
O  0.3073  0.3547  0.2885  1 Bi 2.25, 2 Nd 2.34-2.35
O  0.3547  0.3073  0.7885  1 Bi 2.25, 2 Nd 2.34-2.35
O  0.3983  0.9028  0.8313  1 As 1.82
O  0.6017  0.0972  0.3313  1 As 1.82
O  0.6453  0.6927  0.2885  1 Bi 2.25, 2 Nd 2.34-2.35
O  0.6927  0.6453  0.7885  1 Bi 2.25, 2 Nd 2.34-2.35
O  0.7722  0.2278  0.8888  1 Bi 2.16, 2 Nd 2.34
O  0.9028  0.3983  0.3313  1 As 1.82
O  0.9616  0.0384  0.2597  1 As 1.88

(4)
A relaxed structure of NiBi2As. Source: OQMD via LeMat-Bulk, functional PBE.

Properties
total moment = 0.0 μB/f.u.
VASP energy = -4.070 eV per atom
space-group type = No. 216

abc: 5.0699 5.0699 5.0699
angles: 60.00 60.00 60.00
Closest atoms and distances in Å follow each position.
Positions (direct):
Ni  0.0000  0.0000  0.0000  4 As 3.10, 4 Bi 3.10
Bi  0.5000  0.5000  0.5000  4 As 3.10, 4 Bi 3.10
Bi  0.7500  0.7500  0.7500  4 Bi 3.10, 4 Ni 3.10
As  0.2500  0.2500  0.2500  4 Bi 3.10, 4 Ni 3.10